Zn2SnAu2 | the Alexandria database | PBE | optimized geometry; formation energy from the elements = -0.101 eV per atom; magnetization = 0.00 μB/f.u.
1.0
7.9392 0.0000 0.0000
0.0000 7.9392 0.0000
0.0000 0.0000 2.9666
Zn Au Sn
4 4 2
Direct
0.3780 0.8780 0.0000
0.8780 0.6220 0.0000
0.6220 0.1220 0.0000
0.1220 0.3780 0.0000
0.1728 0.6728 0.5000
0.6728 0.8272 0.5000
0.8272 0.3272 0.5000
0.3272 0.1728 0.5000
0.0000 0.0000 0.0000
0.5000 0.5000 0.0000